Entry from Alexandria: a relaxed SrLaCoO4 crystal (PBE with a Hubbard U).

Cell lengths 3.8847, 6.8246, 7.6956 Å; angles 106.38, 90.19, 106.42 degrees
Last column: nearest neighbours and their distance in Å.
Element x y z (fractional)
Sr1 0.0000 0.0000 0.0000  5 O 2.44-2.66
Sr2 0.0032 0.9994 0.4990  9 O 2.47-2.76
La1 0.2826 0.5624 0.1377  5 O 2.39-2.60
La2 0.2862 0.5621 0.6404  5 O 2.33-2.57
Co1 0.6386 0.2731 0.8173  6 O 1.94-2.12
Co2 0.6417 0.2787 0.3186  6 O 1.88-2.09
O1 0.1476 0.2920 0.8227  2 Co 1.94-1.95
O2 0.1510 0.2959 0.3226  2 Co 1.94-1.95
O3 0.4707 0.9344 0.7303  1 Co 2.12, 1 La 2.33
O4 0.4729 0.9439 0.2368  1 Co 2.09
O5 0.6448 0.2875 0.0767  2 Co 1.88-1.97
O6 0.6511 0.2935 0.5667  2 Co 1.88-1.97
O7 0.8053 0.6099 0.9055  1 Co 2.11
O8 0.8062 0.6046 0.3976  1 Co 2.04

SG: P1
DOS(E_F): 0.150 states/eV per cell
Energy above the lowest structure with this stoichiometry: 0 kJ/mol of formula units
Electronic total energy: -96.68 eV per cell